Entry 1:
Compound: Ag2S
Source: OQMD via LeMat-Bulk
Functional: PBE-GGA
Structure: relaxed

Cell lengths 5.499, 5.499, 5.499 Å; angles 60.00, 60.00, 60.00 degrees
Element x y z (fractional)
Ag1 0.000 0.000 0.000
Ag2 0.000 0.000 0.500
Ag3 0.000 0.500 0.000
Ag4 0.500 0.000 0.000
S1 0.375 0.375 0.375
S2 0.625 0.625 0.625

***

Entry 2:
Compound: Ag2S
Source: OQMD via LeMat-Bulk
Functional: PBE-GGA
Structure: relaxed

Cell lengths 4.356, 6.976, 7.416 Å; angles 90.00, 90.00, 90.00 degrees
Element x y z (fractional)
Ag1 0.014 0.226 0.355
Ag2 0.145 0.610 0.541
Ag3 0.355 0.390 0.041
Ag4 0.486 0.774 0.855
Ag5 0.514 0.274 0.645
Ag6 0.645 0.890 0.459
Ag7 0.855 0.110 0.959
Ag8 0.986 0.726 0.145
S1 0.122 0.998 0.657
S2 0.378 0.002 0.157
S3 0.622 0.502 0.343
S4 0.878 0.498 0.843

***

Entry 3:
Compound: Ag2S
Source: OQMD via LeMat-Bulk
Functional: PBE-GGA
Structure: relaxed

Cell lengths 4.353, 5.895, 5.856 Å; angles 90.00, 105.65, 90.00 degrees
Element x y z (fractional)
Ag1 0.014 0.000 0.479
Ag2 0.090 0.095 0.996
Ag3 0.910 0.595 0.004
Ag4 0.986 0.500 0.521
S1 0.298 0.766 0.809
S2 0.702 0.266 0.191

***

Entry 4:
Compound: Ag2S
Source: OQMD via LeMat-Bulk
Functional: PBE-GGA
Structure: relaxed

Cell lengths 6.247, 6.247, 6.247 Å; angles 90.00, 90.00, 90.00 degrees
Element x y z (fractional)
Ag1 0.250 0.250 0.250
Ag2 0.250 0.250 0.750
Ag3 0.250 0.750 0.250
Ag4 0.250 0.750 0.750
Ag5 0.750 0.250 0.250
Ag6 0.750 0.250 0.750
Ag7 0.750 0.750 0.250
Ag8 0.750 0.750 0.750
S1 0.000 0.000 0.000
S2 0.000 0.500 0.500
S3 0.500 0.000 0.500
S4 0.500 0.500 0.000

***

Entry 5:
Compound: Ag2S
Source: OQMD via LeMat-Bulk
Functional: PBE-GGA
Structure: relaxed

Cell lengths 4.838, 4.838, 5.626 Å; angles 90.00, 90.00, 120.00 degrees
Element x y z (fractional)
Ag1 0.000 0.000 0.250
Ag2 0.000 0.000 0.750
Ag3 0.333 0.667 0.250
Ag4 0.667 0.333 0.750
S1 0.333 0.667 0.750
S2 0.667 0.333 0.250

***

Entry 6:
Compound: Ag2S
Source: OQMD via LeMat-Bulk
Functional: PBE-GGA
Structure: relaxed

Cell lengths 5.863, 5.863, 3.988 Å; angles 90.00, 90.00, 90.00 degrees
Element x y z (fractional)
Ag1 0.202 0.202 0.000
Ag2 0.298 0.702 0.500
Ag3 0.702 0.298 0.500
Ag4 0.798 0.798 0.000
S1 0.000 0.000 0.500
S2 0.500 0.500 0.000

***

Entry 7:
Compound: Ag2S
Source: OQMD via LeMat-Bulk
Functional: PBE-GGA
Structure: relaxed

Cell lengths 7.708, 7.708, 7.708 Å; angles 60.00, 60.00, 60.00 degrees
Element x y z (fractional)
Ag1 0.000 0.000 0.000
Ag2 0.000 0.000 0.500
Ag3 0.000 0.500 0.000
Ag4 0.500 0.000 0.000
S1 0.125 0.125 0.125
S2 0.875 0.875 0.875

***

Entry 8:
Compound: Ag2S
Source: OQMD via LeMat-Bulk
Functional: PBE-GGA
Structure: relaxed

Cell lengths 6.596, 4.752, 7.529 Å; angles 60.02, 38.61, 81.37 degrees
Element x y z (fractional)
Ag1 0.234 0.766 0.389
Ag2 0.639 0.861 0.484
Ag3 0.766 0.234 0.611
Ag4 0.861 0.639 0.016
S1 0.208 0.208 0.792
S2 0.458 0.458 0.042

***

Entry 9:
Compound: Ag2S
Source: OQMD via LeMat-Bulk
Functional: PBE-GGA
Structure: relaxed

Cell lengths 7.710, 7.612, 4.232 Å; angles 90.00, 90.00, 90.00 degrees
Element x y z (fractional)
Ag1 0.000 0.110 0.250
Ag2 0.000 0.890 0.750
Ag3 0.250 0.383 0.250
Ag4 0.250 0.617 0.750
Ag5 0.500 0.110 0.250
Ag6 0.500 0.890 0.750
Ag7 0.750 0.383 0.250
Ag8 0.750 0.617 0.750
S1 0.000 0.293 0.748
S2 0.000 0.707 0.252
S3 0.500 0.293 0.752
S4 0.500 0.707 0.248

***

Entry 10:
Compound: Ag2S
Source: OQMD via LeMat-Bulk
Functional: PBE-GGA
Structure: relaxed

Cell lengths 4.655, 7.304, 7.894 Å; angles 90.00, 90.00, 90.00 degrees
Element x y z (fractional)
Ag1 0.000 0.000 0.000
Ag2 0.000 0.000 0.500
Ag3 0.000 0.442 0.250
Ag4 0.000 0.558 0.750
Ag5 0.500 0.058 0.750
Ag6 0.500 0.500 0.000
Ag7 0.500 0.500 0.500
Ag8 0.500 0.942 0.250
S1 0.000 0.191 0.750
S2 0.000 0.809 0.250
S3 0.500 0.309 0.250
S4 0.500 0.691 0.750

***

Entry 11:
Compound: Ag2S
Source: OQMD via LeMat-Bulk
Functional: PBE-GGA
Structure: relaxed

Cell lengths 4.314, 7.618, 8.632 Å; angles 90.00, 113.76, 90.00 degrees
Element x y z (fractional)
Ag1 0.002 0.001 0.250
Ag2 0.002 0.499 0.750
Ag3 0.418 0.248 0.541
Ag4 0.418 0.252 0.041
Ag5 0.582 0.748 0.959
Ag6 0.582 0.752 0.459
Ag7 0.998 0.501 0.250
Ag8 0.998 0.999 0.750
S1 0.207 0.750 0.147
S2 0.207 0.750 0.647
S3 0.793 0.250 0.353
S4 0.793 0.250 0.853

***

Entry 12:
Compound: AgS2
Source: OQMD via LeMat-Bulk
Functional: PBE-GGA
Structure: relaxed

Cell lengths 7.663, 7.663, 7.663 Å; angles 60.00, 60.00, 60.00 degrees
Element x y z (fractional)
Ag1 0.125 0.125 0.125
Ag2 0.875 0.875 0.875
S1 0.000 0.000 0.000
S2 0.000 0.000 0.500
S3 0.000 0.500 0.000
S4 0.500 0.000 0.000

***

Entry 13:
Compound: Ag2S
Source: OQMD via LeMat-Bulk
Functional: PBE-GGA
Structure: relaxed

Cell lengths 6.291, 6.291, 6.291 Å; angles 90.00, 90.00, 90.00 degrees
Element x y z (fractional)
Ag1 0.000 0.000 0.000
Ag2 0.000 0.500 0.500
Ag3 0.250 0.250 0.250
Ag4 0.250 0.750 0.750
Ag5 0.500 0.000 0.500
Ag6 0.500 0.500 0.000
Ag7 0.750 0.250 0.750
Ag8 0.750 0.750 0.250
S1 0.250 0.250 0.750
S2 0.250 0.750 0.250
S3 0.750 0.250 0.250
S4 0.750 0.750 0.750

***

Entry 14:
Compound: Ag2S3
Source: OQMD via LeMat-Bulk
Functional: PBE-GGA
Structure: relaxed

Cell lengths 6.775, 6.775, 6.775 Å; angles 56.92, 56.92, 56.92 degrees
Element x y z (fractional)
Ag1 0.150 0.150 0.150
Ag2 0.350 0.350 0.350
Ag3 0.650 0.650 0.650
Ag4 0.850 0.850 0.850
S1 0.051 0.750 0.449
S2 0.250 0.551 0.949
S3 0.449 0.051 0.750
S4 0.551 0.949 0.250
S5 0.750 0.449 0.051
S6 0.949 0.250 0.551

***

Entry 15:
Compound: Ag2SbS2
Source: OQMD via LeMat-Bulk
Functional: PBE-GGA
Structure: relaxed

Cell lengths 7.061, 3.669, 9.597 Å; angles 90.00, 110.44, 90.00 degrees
Element x y z (fractional)
Ag1 0.191 0.250 0.464
Ag2 0.305 0.250 0.929
Ag3 0.695 0.750 0.071
Ag4 0.809 0.750 0.536
Sb1 0.497 0.750 0.653
Sb2 0.503 0.250 0.347
S1 0.052 0.250 0.677
S2 0.344 0.750 0.137
S3 0.656 0.250 0.863
S4 0.948 0.750 0.323

***

Entry 16:
Compound: AgSbS2
Source: OQMD via LeMat-Bulk
Functional: PBE-GGA
Structure: relaxed

Cell lengths 6.360, 3.923, 15.574 Å; angles 90.00, 90.00, 90.00 degrees
Element x y z (fractional)
Ag1 0.233 0.250 0.179
Ag2 0.267 0.750 0.679
Ag3 0.733 0.250 0.321
Ag4 0.767 0.750 0.821
Sb1 0.248 0.250 0.944
Sb2 0.252 0.750 0.444
Sb3 0.748 0.250 0.556
Sb4 0.752 0.750 0.056
S1 0.131 0.250 0.583
S2 0.169 0.750 0.837
S3 0.331 0.250 0.337
S4 0.369 0.750 0.083
S5 0.631 0.250 0.917
S6 0.669 0.750 0.663
S7 0.831 0.250 0.163
S8 0.869 0.750 0.417

***

Entry 17:
Compound: Ag12Sb4S13
Source: OQMD via LeMat-Bulk
Functional: PBE-GGA
Structure: relaxed

Cell lengths 9.750, 9.750, 9.750 Å; angles 109.47, 109.47, 109.47 degrees
Element x y z (fractional)
Ag1 0.000 0.222 0.222
Ag2 0.000 0.778 0.778
Ag3 0.222 0.000 0.222
Ag4 0.222 0.222 0.000
Ag5 0.250 0.500 0.750
Ag6 0.250 0.750 0.500
Ag7 0.500 0.250 0.750
Ag8 0.500 0.750 0.250
Ag9 0.750 0.250 0.500
Ag10 0.750 0.500 0.250
Ag11 0.778 0.000 0.778
Ag12 0.778 0.778 0.000
Sb1 0.000 0.000 0.526
Sb2 0.000 0.526 0.000
Sb3 0.474 0.474 0.474
Sb4 0.526 0.000 0.000
S1 0.000 0.000 0.000
S2 0.000 0.234 0.481
S3 0.000 0.481 0.234
S4 0.234 0.000 0.481
S5 0.234 0.481 0.000
S6 0.247 0.766 0.766
S7 0.481 0.000 0.234
S8 0.481 0.234 0.000
S9 0.519 0.519 0.753
S10 0.519 0.753 0.519
S11 0.753 0.519 0.519
S12 0.766 0.247 0.766
S13 0.766 0.766 0.247

***

Entry 18:
Compound: AgSbS2
Source: OQMD via LeMat-Bulk
Functional: PBE-GGA
Structure: relaxed

Cell lengths 3.973, 3.973, 18.886 Å; angles 90.00, 90.00, 120.00 degrees
Element x y z (fractional)
Ag1 0.000 0.000 0.000
Ag2 0.333 0.667 0.667
Ag3 0.667 0.333 0.333
Sb1 0.000 0.000 0.500
Sb2 0.333 0.667 0.167
Sb3 0.667 0.333 0.833
S1 0.000 0.000 0.250
S2 0.000 0.000 0.750
S3 0.333 0.667 0.416
S4 0.333 0.667 0.917
S5 0.667 0.333 0.083
S6 0.667 0.333 0.584

***

Entry 19:
Compound: Ag3SbSe2S2
Source: OQMD via LeMat-Bulk
Functional: PBE-GGA
Structure: relaxed

Cell lengths 13.232, 5.982, 5.997 Å; angles 90.00, 116.19, 90.00 degrees
Element x y z (fractional)
Ag1 0.000 0.000 0.000
Ag2 0.250 0.017 0.728
Ag3 0.250 0.517 0.272
Ag4 0.500 0.500 0.000
Ag5 0.750 0.017 0.272
Ag6 0.750 0.517 0.728
Sb1 0.000 0.526 0.500
Sb2 0.500 0.026 0.500
Se1 0.125 0.278 0.867
Se2 0.375 0.778 0.133
Se3 0.625 0.778 0.867
Se4 0.875 0.278 0.133
S1 0.120 0.757 0.383
S2 0.380 0.257 0.617
S3 0.620 0.257 0.383
S4 0.880 0.757 0.617

***

Entry 20:
Compound: TaAg2SbS6
Source: OQMD via LeMat-Bulk
Functional: PBE-GGA
Structure: relaxed

Cell lengths 7.020, 7.020, 7.020 Å; angles 60.00, 60.00, 60.00 degrees
Element x y z (fractional)
Ta1 0.000 0.000 0.000
Ag1 0.250 0.250 0.250
Ag2 0.750 0.750 0.750
Sb1 0.500 0.500 0.500
S1 0.242 0.242 0.758
S2 0.242 0.758 0.242
S3 0.242 0.758 0.758
S4 0.758 0.242 0.242
S5 0.758 0.242 0.758
S6 0.758 0.758 0.242

***

Entry 21:
Compound: Tl3Ag3Sb2S6
Source: OQMD via LeMat-Bulk
Functional: PBE-GGA
Structure: relaxed

Cell lengths 11.510, 12.130, 12.219 Å; angles 90.00, 119.92, 90.00 degrees
Element x y z (fractional)
Tl1 0.163 0.248 0.228
Tl2 0.163 0.252 0.728
Tl3 0.193 0.510 0.465
Tl4 0.193 0.990 0.965
Tl5 0.214 0.615 0.111
Tl6 0.214 0.885 0.611
Tl7 0.786 0.115 0.389
Tl8 0.786 0.385 0.889
Tl9 0.807 0.010 0.035
Tl10 0.807 0.490 0.535
Tl11 0.837 0.748 0.272
Tl12 0.837 0.752 0.772
Ag1 0.111 0.153 0.426
Ag2 0.111 0.347 0.926
Ag3 0.472 0.636 0.424
Ag4 0.472 0.864 0.924
Ag5 0.473 0.626 0.051
Ag6 0.473 0.874 0.551
Ag7 0.527 0.126 0.449
Ag8 0.527 0.374 0.949
Ag9 0.528 0.136 0.076
Ag10 0.528 0.364 0.576
Ag11 0.889 0.653 0.074
Ag12 0.889 0.847 0.574
Sb1 0.170 0.592 0.759
Sb2 0.170 0.908 0.259
Sb3 0.499 0.146 0.745
Sb4 0.499 0.354 0.245
Sb5 0.501 0.646 0.755
Sb6 0.501 0.854 0.255
Sb7 0.830 0.092 0.741
Sb8 0.830 0.408 0.241
S1 0.004 0.681 0.556
S2 0.004 0.819 0.056
S3 0.006 0.533 0.821
S4 0.006 0.967 0.321
S5 0.270 0.750 0.402
S6 0.270 0.750 0.902
S7 0.355 0.081 0.525
S8 0.355 0.419 0.025
S9 0.372 0.073 0.844
S10 0.372 0.427 0.344
S11 0.416 0.164 0.211
S12 0.416 0.336 0.711
S13 0.584 0.664 0.289
S14 0.584 0.836 0.789
S15 0.628 0.573 0.656
S16 0.628 0.927 0.156
S17 0.645 0.581 0.975
S18 0.645 0.919 0.475
S19 0.730 0.250 0.098
S20 0.730 0.250 0.598
S21 0.994 0.033 0.679
S22 0.994 0.467 0.179
S23 0.996 0.181 0.944
S24 0.996 0.319 0.444

***

no.,electronic total energy (eV per atom)
1,-2.76
2,-3.27
3,-3.32
4,-3.25
5,-3.15
6,-3.22
7,-3.27
8,-3.25
9,-3.10
10,-3.32
11,-3.32
12,-2.60
13,-3.11
14,-3.28
15,-3.52
16,-3.99
17,-3.70
18,-3.95
19,-3.60
20,-4.45
21,-3.73